Computed, not measured: a relaxed SrTaSb crystal at the PBE level of DFT.

The structure in extended XYZ format:
```
3
Lattice="0.000 3.530 3.530 3.530 0.000 3.530 3.530 3.530 0.000" Properties=species:S:1:pos:R:3 pbc="T T T"
Sr 0.000 0.000 0.000
Ta 3.530 3.530 3.530
Sb 1.765 1.765 1.765
```

## Properties
Size of the total moment, μB per formula unit: 1.68
Energy above the lowest structure with this stoichiometry, meV per atom: 413
Formation energy from raw total energies, kcal/mol of atoms: 12.89

***

Computed, not measured: a relaxed NbAlIn2 crystal at the PBE level of DFT.

The structure in extended XYZ format:
```
8
Lattice="-3.895 3.895 2.842 3.895 -3.895 2.842 3.895 3.895 -2.842" Properties=species:S:1:pos:R:3 pbc="T T T"
Nb 0.000 0.000 0.000
Nb 0.000 3.895 1.421
Al 3.895 0.000 1.421
Al 0.000 0.000 2.842
In 1.948 2.072 -0.710
In 5.719 1.948 0.710
In 1.948 1.824 2.131
In -1.824 1.948 3.552
```

## Properties
Size of the total moment, μB per formula unit: 0.00
Energy of formation from the pure elements, kJ per mole of atoms: 41.1

***

Computed, not measured: a relaxed Cr5W crystal at the PBE level of DFT.

The structure in extended XYZ format:
```
6
Lattice="1.466 -6.165 0.000 1.466 6.165 0.000 0.000 0.000 4.130" Properties=species:S:1:pos:R:3 pbc="T T T"
Cr 0.000 0.000 0.000
Cr 1.466 4.045 2.065
Cr 1.466 2.092 0.000
Cr 1.466 -2.092 0.000
Cr 1.466 -4.045 2.065
W 1.466 0.000 2.065
```

## Properties
Size of the total moment, μB per formula unit: 0.00
Energy of formation from the pure elements, kJ per mole of atoms: 4.5
Energy above the lowest structure with this stoichiometry, meV per atom: 7

***

Computed, not measured: a relaxed PmCd2Cu crystal at the PBE level of DFT.

The structure in extended XYZ format:
```
4
Lattice="3.358 0.000 0.000 0.000 3.358 0.000 0.000 0.000 7.727" Properties=species:S:1:pos:R:3 pbc="T T T"
Pm 0.000 0.000 0.000
Cd 1.679 1.679 2.343
Cd 1.679 1.679 5.384
Cu 0.000 0.000 3.864
```

## Properties
Size of the total moment, μB per formula unit: 0.02
Energy of formation from the pure elements, kJ per mole of atoms: -10.1
Energy above the lowest structure with this stoichiometry, meV per atom: 169

***

Computed, not measured: a relaxed Nd2GdEr crystal at the PBE level of DFT.

The structure in extended XYZ format:
```
4
Lattice="5.122 0.000 0.000 0.000 5.122 0.000 0.000 0.000 5.074" Properties=species:S:1:pos:R:3 pbc="T T T"
Nd 0.000 2.561 0.000
Nd 2.561 0.000 0.000
Gd 0.000 0.000 2.537
Er 2.561 2.561 2.537
```

## Properties
Size of the total moment, μB per formula unit: 7.29
Energy of formation from the pure elements, kJ per mole of atoms: 1.3
Energy above the lowest structure with this stoichiometry, meV per atom: 0

***

Computed, not measured: a relaxed YTmP2 crystal at the PBE level of DFT.

The structure in extended XYZ format:
```
4
Lattice="1.971 1.138 6.771 -1.971 1.138 6.771 0.000 -2.276 6.771" Properties=species:S:1:pos:R:3 pbc="T T T"
Y 0.000 0.000 0.000
Tm 0.000 0.000 3.481
P 0.000 0.000 11.845
P 0.000 0.000 15.331
```

## Properties
Size of the total moment, μB per formula unit: 0.00
Energy of formation from the pure elements, kJ per mole of atoms: -140.2
Energy above the lowest structure with this stoichiometry, meV per atom: 164